(1)
DFT (PBE-GGA) results for a geometry-optimized KHf2Tl2 structure.

a b c (Å): 9.145 9.145 3.138
angles (deg): 90.00 90.00 90.00
Space group P4/mbm (No. 127)
One atom of each set of equivalent atoms:
K1 0.000 0.000 0.000 x2
Hf1 0.119 0.381 0.000 x4
Tl1 0.176 0.676 0.500 x4

Properties
**Formation enthalpy at 0 K**: 255 meV per atom
**Energy above the most stable polymorph in this dataset**: 0.000 eV/atom


(2)
DFT (PBE-GGA) results for a geometry-optimized K2CaTiS structure.

a b c (Å): 6.091 6.091 5.399
angles (deg): 90.00 90.00 90.00
Space group P4/mmm (No. 123)
One atom of each set of equivalent atoms:
K1 0.000 0.500 0.000 x2
Ca1 0.000 0.000 0.500 x1
Ti1 0.500 0.500 0.500 x1
S1 0.000 0.000 0.000 x1

Properties
**Formation energy (no corrections)**: 0.3 eV per formula unit


(3)
DFT (PBE-GGA) results for a geometry-optimized KSmTe2 structure.

a b c (Å): 4.5475 4.5475 25.2575
angles (deg): 90.00 90.00 120.00
Space group R3m (No. 160, hexagonal axes)
One atom of each set of equivalent atoms:
K1 0.0000 0.0000 0.0000 x3
Sm1 0.0000 0.0000 0.1691 x3
Te1 0.0000 0.0000 0.5724 x3
Te2 0.0000 0.0000 0.7653 x3

Properties
**Formation energy (no corrections)**: -5.6 eV per formula unit


(4)
DFT (PBE-GGA) results for a geometry-optimized YCo2Ni structure.

a b c (Å): 3.808 3.808 4.018
angles (deg): 90.00 90.00 90.00
Space group P4/mmm (No. 123)
One atom of each set of equivalent atoms:
Y1 0.000 0.000 0.000 x1
Co1 0.000 0.500 0.500 x2
Ni1 0.500 0.500 0.000 x1

Properties
**Formation enthalpy at 0 K**: 61 meV per atom


(5)
DFT (PBE-GGA) results for a geometry-optimized K6Rb2AgH structure.

a b c (Å): 13.047 13.110 9.266
angles (deg): 90.00 134.53 90.00
Space group C2/m (No. 12)
One atom of each set of equivalent atoms:
K1 0.000 0.236 0.000 x4
K2 0.235 0.000 0.999 x4
K3 0.237 0.000 0.474 x4
Rb1 0.000 0.251 0.500 x4
Ag1 0.000 0.500 0.000 x2
H1 0.000 0.000 0.000 x2


(6)
DFT (PBE-GGA) results for a geometry-optimized Ba12Pd5Pt structure.

a b c (Å): 7.932 14.104 15.120
angles (deg): 90.00 90.01 90.00
Space group C2/m (No. 12)
One atom of each set of equivalent atoms:
Ba1 0.162 0.165 0.386 x8
Ba2 0.164 0.000 0.115 x4
Ba3 0.164 0.333 0.115 x8
Ba4 0.168 0.500 0.386 x4
Pd1 0.000 0.167 0.000 x4
Pd2 0.000 0.333 0.500 x4
Pd3 0.000 0.500 0.000 x2
Pt1 0.000 0.000 0.500 x2

Properties
**Formation enthalpy at 0 K**: -456 meV per atom


(7)
DFT (PBE-GGA) results for a geometry-optimized Pa6SnSb structure.

a b c (Å): 6.507 6.507 4.638
angles (deg): 90.00 90.00 90.00
Space group P4/mmm (No. 123)
One atom of each set of equivalent atoms:
Pa1 0.000 0.500 0.000 x2
Pa2 0.248 0.248 0.500 x4
Sn1 0.500 0.500 0.000 x1
Sb1 0.000 0.000 0.000 x1

Properties
**Formation energy (no corrections)**: -2.2 eV per formula unit


(8)
DFT (PBE-GGA) results for a geometry-optimized TlGaH2 structure.

a b c (Å): 4.813 4.813 10.904
angles (deg): 90.00 90.00 90.00
Space group I-42d (No. 122)
One atom of each set of equivalent atoms:
Tl1 0.000 0.000 0.000 x4
Ga1 0.000 0.000 0.500 x4
H1 0.003 0.750 0.625 x8

Properties
**Energy above the most stable polymorph in this dataset**: 0.196 eV/atom


(9)
DFT (PBE-GGA) results for a geometry-optimized Ag2OsRh structure.

a b c (Å): 5.382 8.817 2.677
angles (deg): 90.00 90.00 90.00
Space group Cmmm (No. 65)
One atom of each set of equivalent atoms:
Ag1 0.250 0.250 0.000 x4
Os1 0.000 0.000 0.500 x2
Rh1 0.000 0.500 0.500 x2

Properties
**Formation enthalpy at 0 K**: 645 meV per atom
**Energy above the most stable polymorph in this dataset**: 0.381 eV/atom


(10)
DFT (PBE-GGA) results for a geometry-optimized SmErLuSn structure.

a b c (Å): 7.626 7.626 7.626
angles (deg): 90.00 90.00 90.00
Space group F-43m (No. 216)
One atom of each set of equivalent atoms:
Sm1 0.000 0.000 0.000 x4
Er1 0.000 0.000 0.500 x4
Lu1 0.250 0.250 0.250 x4
Sn1 0.250 0.250 0.750 x4

Properties
**Formation enthalpy at 0 K**: -233 meV per atom


(11)
DFT (PBE-GGA) results for a geometry-optimized LiEr2Ge3Ir4 structure.

a b c (Å): 4.085 4.085 10.566
angles (deg): 90.00 90.00 90.00
Space group P-4m2 (No. 115)
One atom of each set of equivalent atoms:
Li1 0.000 0.000 0.000 x1
Er1 0.000 0.500 0.750 x2
Ge1 0.000 0.500 0.368 x2
Ge2 0.500 0.500 0.000 x1
Ir1 0.000 0.000 0.500 x1
Ir2 0.000 0.500 0.140 x2
Ir3 0.500 0.500 0.500 x1

Properties
**Formation enthalpy at 0 K**: -709 meV per atom


(12)
DFT (PBE-GGA) results for a geometry-optimized Dy5ZnIn2 structure.

a b c (Å): 6.905 6.905 8.955
angles (deg): 90.00 90.00 90.00
Space group I4/mmm (No. 139)
One atom of each set of equivalent atoms:
Dy1 0.000 0.000 0.000 x2
Dy2 0.250 0.250 0.250 x8
Zn1 0.000 0.000 0.500 x2
In1 0.000 0.500 0.000 x4

Properties
**Formation enthalpy at 0 K**: -260 meV per atom


| no. | final energy (eV/f.u.) |
| --- | --- |
| 1 | -24.5 |
| 2 | -15.9 |
| 3 | -17.7 |
| 4 | -26.2 |
| 5 | -14.3 |
| 6 | -63.3 |
| 7 | -67.3 |
| 8 | -11.0 |
| 9 | -21.7 |
| 10 | -18.7 |
| 11 | -67.4 |
| 12 | -31.8 |